# TbPaTcRh

A relaxed TbPaTcRh crystal (PBE, Alexandria via LeMat-Bulk).

Unit cell a=4.869 b=4.869 c=4.869 alpha=60.00 beta=60.00 gamma=60.00
Atoms (fractional coordinates):
Rh: 0.000 0.000 0.000
Tc: 0.500 0.500 0.500
Tb: 0.250 0.250 0.250
Pa: 0.750 0.750 0.750

- magnetic moment (μB/f.u.) = 0.00
- VASP energy (eV/cell) = -33.44